(1)
# Tb3Er2Mg GGA-PBE relaxed
data_Tb3Er2Mg
_symmetry_space_group_name_H-M 'P 4/m m m'
_symmetry_Int_Tables_number 123
_symmetry_space_group_name_Hall '-P 4 2'
_cell_length_a 3.5493
_cell_length_b 3.5493
_cell_length_c 14.3244
_cell_angle_alpha 90.00
_cell_angle_beta 90.00
_cell_angle_gamma 90.00
loop_
_atom_site_label
_atom_site_type_symbol
_atom_site_fract_x
_atom_site_fract_y
_atom_site_fract_z
Tb1 Tb 0.0000 0.0000 0.0000
Tb2 Tb 0.0000 0.0000 0.3451
Er1 Er 0.5000 0.5000 0.1742
Mg1 Mg 0.5000 0.5000 0.5000
# offset from the most stable computed form	0	meV per atom
# ΔH_f (0 K)	-0.07	eV/f.u.



(2)
# Tb2CuAg3 GGA-PBE relaxed
data_Tb2CuAg3
_symmetry_space_group_name_H-M 'P m m 2'
_symmetry_Int_Tables_number 25
_cell_length_a 3.4869
_cell_length_b 4.6584
_cell_length_c 8.0150
_cell_angle_alpha 90.00
_cell_angle_beta 90.00
_cell_angle_gamma 90.00
loop_
_symmetry_equiv_pos_as_xyz
'x,y,z'
'-x,-y,z'
'-x,y,z'
'x,-y,z'
loop_
_atom_site_label
_atom_site_type_symbol
_atom_site_fract_x
_atom_site_fract_y
_atom_site_fract_z
Tb1 Tb 0.0000 0.0000 0.0000
Tb2 Tb 0.0000 0.5000 0.4781
Cu1 Cu 0.5000 0.0000 0.3153
Ag1 Ag 0.5000 0.0000 0.6417
Ag2 Ag 0.5000 0.5000 0.1636
Ag3 Ag 0.5000 0.5000 0.8214
# ΔH_f (0 K)	-1.43	eV/f.u.



(3)
# Na2AgPd2 GGA-PBE relaxed
data_Na2AgPd2
_symmetry_space_group_name_H-M 'P 4/m b m'
_symmetry_Int_Tables_number 127
_symmetry_space_group_name_Hall '-P 4 2ab'
_cell_length_a 6.8931
_cell_length_b 6.8931
_cell_length_c 4.4228
_cell_angle_alpha 90.00
_cell_angle_beta 90.00
_cell_angle_gamma 90.00
loop_
_atom_site_label
_atom_site_type_symbol
_atom_site_fract_x
_atom_site_fract_y
_atom_site_fract_z
Na1 Na 0.1700 0.3300 0.0000
Ag1 Ag 0.0000 0.0000 0.5000
Pd1 Pd 0.1343 0.6343 0.5000
# offset from the most stable computed form	41	meV per atom
# ΔH_f (0 K)	-0.03	eV/f.u.